# 1
Compound: Tm3Zn4Cd
Source: Alexandria via LeMat-Bulk
Functional: PBE
Structure: optimized geometry

Values from the calculation:
symmetry	R-3m
energy of formation from the pure elements	-0.307	eV/atom
DFT total energy	-2.74	eV/atom
density of states at the Fermi level	3.51	states/eV/f.u.

a = 4.857 Å, b = 4.857 Å, c = 8.620 Å
α = 73.64°, β = 73.64°, γ = 60.00°
Sites, in units of the cell vectors:
Tm (0.255, 0.255, 0.235)
Tm (0.745, 0.745, 0.765)
Zn (0.376, 0.376, 0.872)
Zn (0.129, 0.129, 0.613)
Cd (0.000, 0.000, 0.000)
Tm (0.500, 0.500, 0.500)
Zn (0.871, 0.871, 0.387)
Zn (0.624, 0.624, 0.128)

# 2
Compound: GdTlNiAu
Source: Alexandria via LeMat-Bulk
Functional: PBE
Structure: optimized geometry

Values from the calculation:
symmetry	F-43m
energy of formation from the pure elements	-0.295	eV/atom
DFT total energy	-6.67	eV/atom
density of states at the Fermi level	2.48	states/eV/f.u.

a = 4.881 Å, b = 4.881 Å, c = 4.881 Å
α = 60.00°, β = 60.00°, γ = 60.00°
Site moments in Bohr magnetons follow the coordinates.
Sites, in units of the cell vectors:
Au (0.750, 0.750, 0.750)  0.00
Tl (0.500, 0.500, 0.500)  0.00
Ni (0.250, 0.250, 0.250)  0.02
Gd (0.000, 0.000, 0.000)  6.97

# 3
Compound: Cd2Sb2Se
Source: Alexandria via LeMat-Bulk
Functional: PBE
Structure: optimized geometry

Values from the calculation:
symmetry	P4/mbm
relative energy among the computed polymorphs	0.39	eV/f.u.
DFT total energy	-2.55	eV/atom
formation energy (no corrections)	0.16	eV per atom
density of states at the Fermi level	2.54	states/eV/f.u.

a = 7.836 Å, b = 7.836 Å, c = 4.445 Å
α = 90.00°, β = 90.00°, γ = 90.00°
Sites, in units of the cell vectors:
Sb (0.126, 0.626, 0.500)
Cd (0.174, 0.326, 0.000)
Cd (0.826, 0.674, 0.000)
Sb (0.626, 0.874, 0.500)
Cd (0.326, 0.826, 0.000)
Cd (0.674, 0.174, 0.000)
Se (0.500, 0.500, 0.000)
Sb (0.374, 0.126, 0.500)
Se (0.000, 0.000, 0.000)
Sb (0.874, 0.374, 0.500)

# 4
Compound: MnBe3
Source: Alexandria via LeMat-Bulk
Functional: PBE
Structure: optimized geometry

Values from the calculation:
symmetry	Cmmm
energy of formation from the pure elements	0.053	eV/atom
DFT total energy	-5.03	eV/atom
density of states at the Fermi level	2.36	states/eV/f.u.

a = 2.277 Å, b = 2.277 Å, c = 7.122 Å
α = 90.00°, β = 90.00°, γ = 105.82°
Site moments in Bohr magnetons follow the coordinates.
Sites, in units of the cell vectors:
Be (0.000, 0.000, 0.507)  0.00
Mn (0.500, 0.500, 0.250)  0.31
Be (0.000, 0.000, 0.993)  0.00
Be (0.500, 0.500, 0.750)  0.00

# 5
Compound: KSrV
Source: Alexandria via LeMat-Bulk
Functional: PBE
Structure: optimized geometry

Values from the calculation:
symmetry	C2/m
relative energy among the computed polymorphs	0.15	eV/f.u.
energy of formation from the pure elements	0.516	eV/atom
DFT total energy	-3.45	eV/atom
density of states at the Fermi level	3.32	states/eV/f.u.

a = 31.059 Å, b = 15.468 Å, c = 15.468 Å
α = 165.18°, β = 169.09°, γ = 10.91°
Site moments in Bohr magnetons follow the coordinates.
Sites, in units of the cell vectors:
K (0.761, 0.427, 0.573)  0.00
Sr (0.723, 0.703, 0.297)  0.01
V (0.804, 0.208, 0.792)  0.15
K (0.239, 0.573, 0.427)  0.00
Sr (0.277, 0.297, 0.703)  0.01
V (0.196, 0.792, 0.208)  0.15

# 6
Compound: Zr2PbW
Source: Alexandria via LeMat-Bulk
Functional: PBE
Structure: optimized geometry

Values from the calculation:
symmetry	I-42d
energy of formation from the pure elements	0.636	eV/atom
DFT total energy	-7.80	eV/atom
density of states at the Fermi level	4.47	states/eV/f.u.

a = 7.917 Å, b = 7.917 Å, c = 6.321 Å
α = 51.23°, β = 51.23°, γ = 90.00°
Sites, in units of the cell vectors:
Pb (0.750, 0.250, 0.500)
Zr (0.375, 0.415, 0.750)
W (0.250, 0.750, 0.500)
Zr (0.585, 0.125, 0.250)
Zr (0.875, 0.835, 0.750)
W (0.500, 0.500, 0.000)
Zr (0.165, 0.625, 0.250)
Pb (0.000, 0.000, 0.000)